No. 1
The following is a PBE-GGA calculation of a relaxed structure of HfMgCr3, from the Alexandria database.

Output
polymorph energy (0 for the lowest one) = 29 meV per atom
space-group type = Pm-3m (221)
formation energy from the elements = 1.54 eV/atom
calculated total energy = -6.546 eV/atom
mass density = 6.28 g/cm³

Cell: 4.561 4.561 4.561 Å, 90.00 90.00 90.00°
Positions (direct):
Hf 0.000 0.000 0.000
Mg 0.500 0.500 0.500
Cr 0.000 0.500 0.500
Cr 0.500 0.000 0.500
Cr 0.500 0.500 0.000

***

No. 2
The following is a PBE-GGA calculation of a relaxed structure of AcTbIn, from the Alexandria database.

Output
polymorph energy (0 for the lowest one) = 241 meV per atom
space-group type = F-43m (216)
formation energy from the elements = -0.07 eV/atom
calculated total energy = -3.894 eV/atom
mass density = 7.29 g/cm³

Cell: 7.698 7.698 7.698 Å, 90.00 90.00 90.00°
Positions (direct):
Ac 0.000 0.000 0.000
Ac 0.000 0.500 0.500
Ac 0.500 0.000 0.500
Ac 0.500 0.500 0.000
Tb 0.000 0.000 0.500
Tb 0.000 0.500 0.000
Tb 0.500 0.000 0.000
Tb 0.500 0.500 0.500
In 0.250 0.250 0.250
In 0.250 0.750 0.750
In 0.750 0.250 0.750
In 0.750 0.750 0.250

***

No. 3
The following is a PBE-GGA calculation of a relaxed structure of Ac4PmCd3, from the Alexandria database.

Output
space-group type = R-3m (166)
formation energy from the elements = -0.16 eV/atom
calculated total energy = -3.147 eV/atom
mass density = 8.22 g/cm³

Cell: 10.194 10.194 10.194 Å, 33.07 33.07 33.07°
Positions (direct):
Ac 0.120 0.120 0.120
Ac 0.372 0.372 0.372
Ac 0.628 0.628 0.628
Ac 0.880 0.880 0.880
Pm 0.500 0.500 0.500
Cd 0.000 0.000 0.000
Cd 0.244 0.244 0.244
Cd 0.756 0.756 0.756

***

No. 4
The following is a PBE-GGA calculation of a relaxed structure of AsC2, from the Alexandria database.

Output
polymorph energy (0 for the lowest one) = 808 meV per atom
space-group type = Pa-3 (205)
formation energy from the elements = 1.16 eV/atom
calculated total energy = -6.540 eV/atom
mass density = 5.51 g/cm³

Cell: 4.922 4.922 4.922 Å, 90.00 90.00 90.00°
Positions (direct):
As 0.000 0.000 0.000
As 0.000 0.500 0.500
As 0.500 0.000 0.500
As 0.500 0.500 0.000
C 0.081 0.581 0.919
C 0.081 0.919 0.419
C 0.419 0.081 0.919
C 0.419 0.419 0.419
C 0.581 0.581 0.581
C 0.581 0.919 0.081
C 0.919 0.081 0.581
C 0.919 0.419 0.081

***

No. 5
The following is a PBE-GGA calculation of a relaxed structure of BIrC, from the Alexandria database.

Output
polymorph energy (0 for the lowest one) = 162 meV per atom
space-group type = P3m1 (156)
formation energy from the elements = 0.39 eV/atom
calculated total energy = -7.866 eV/atom
mass density = 11.65 g/cm³

Cell: 2.890 2.890 4.238 Å, 90.00 90.00 120.00°
Positions (direct):
B 0.000 0.000 0.000
Ir 0.333 0.667 0.347
C 0.000 0.000 0.639

***

No. 6
The following is a PBE-GGA calculation of a relaxed structure of FePOs2Au, from the Alexandria database.

Output
polymorph energy (0 for the lowest one) = 181 meV per atom
space-group type = P1 (1)
formation energy from the elements = 0.26 eV/atom
calculated total energy = -7.662 eV/atom
mass density = 14.82 g/cm³

Cell: 2.870 5.401 5.584 Å, 115.85 90.07 105.38°
Positions (direct):
Fe 0.000 0.000 0.000
P 0.626 0.254 0.348
Os 0.033 0.069 0.565
Os 0.328 0.656 0.595
Au 0.288 0.565 0.053

***

No. 7
The following is a PBE-GGA calculation of a relaxed structure of Cs2Te2HAu, from the Alexandria database.

Output
space-group type = Ibam (72)
calculated total energy = -2.684 eV/atom
mass density = 5.62 g/cm³

Cell: 9.291 9.291 9.291 Å, 131.32 69.20 134.02°
Positions (direct):
Cs 0.156 0.198 0.354
Cs 0.344 0.698 0.041
Cs 0.656 0.302 0.959
Cs 0.844 0.802 0.646
Te 0.075 0.736 0.811
Te 0.425 0.236 0.661
Te 0.575 0.764 0.339
Te 0.925 0.264 0.189
H 0.250 0.250 0.000
H 0.750 0.750 0.000
Au 0.250 0.750 0.500
Au 0.750 0.250 0.500

***

No. 8
The following is a PBE-GGA calculation of a relaxed structure of CuH20N6OF2, from the Alexandria database.

Output
space-group type = P3_221 (154)
calculated total energy = -4.941 eV/atom
mass density = 1.56 g/cm³

Cell: 6.677 6.677 18.309 Å, 90.00 90.00 120.00°
Positions (direct):
Cu 0.000 0.459 0.333
Cu 0.459 0.000 0.667
Cu 0.541 0.541 0.000
H 0.012 0.751 0.668
H 0.064 0.151 0.534
H 0.087 0.936 0.867
H 0.091 0.346 0.998
H 0.095 0.858 0.584
H 0.115 0.630 0.611
H 0.142 0.237 0.250
H 0.142 0.823 0.248
H 0.151 0.064 0.466
H 0.177 0.319 0.915
H 0.202 0.570 0.941
H 0.209 0.577 0.769
H 0.214 0.516 0.122
H 0.218 0.535 0.498
H 0.237 0.142 0.750
H 0.249 0.261 0.335
H 0.254 0.909 0.332
H 0.261 0.249 0.665
H 0.302 0.786 0.456
H 0.317 0.782 0.831
H 0.319 0.177 0.085
H 0.346 0.091 0.002
H 0.368 0.798 0.274
H 0.369 0.791 0.102
H 0.370 0.485 0.278
H 0.423 0.631 0.436
H 0.430 0.632 0.608
H 0.465 0.683 0.164
H 0.484 0.698 0.789
H 0.485 0.370 0.722
H 0.515 0.885 0.945
H 0.516 0.214 0.878
H 0.535 0.218 0.502
H 0.570 0.202 0.059
H 0.577 0.209 0.231
H 0.630 0.115 0.389
H 0.631 0.423 0.564
H 0.632 0.430 0.392
H 0.654 0.746 0.665
H 0.681 0.858 0.581
H 0.683 0.465 0.836
H 0.698 0.484 0.211
H 0.739 0.988 0.001
H 0.746 0.654 0.335
H 0.751 0.012 0.332
H 0.763 0.905 0.917
H 0.782 0.317 0.169
H 0.786 0.302 0.544
H 0.791 0.369 0.898
H 0.798 0.368 0.726
H 0.823 0.142 0.752
H 0.849 0.913 0.200
H 0.858 0.095 0.416
H 0.858 0.681 0.419
H 0.885 0.515 0.055
H 0.905 0.763 0.083
H 0.909 0.254 0.668
H 0.913 0.849 0.800
H 0.936 0.087 0.133
H 0.988 0.739 0.999
N 0.133 0.786 0.628
N 0.214 0.346 0.294
N 0.214 0.429 0.958
N 0.215 0.786 0.291
N 0.269 0.620 0.449
N 0.346 0.214 0.706
N 0.351 0.731 0.782
N 0.380 0.649 0.115
N 0.429 0.214 0.042
N 0.571 0.785 0.625
N 0.620 0.269 0.551
N 0.649 0.380 0.885
N 0.654 0.867 0.961
N 0.731 0.351 0.218
N 0.785 0.571 0.375
N 0.786 0.133 0.372
N 0.786 0.215 0.709
N 0.867 0.654 0.039
O 0.000 0.984 0.833
O 0.016 0.016 0.500
O 0.984 0.000 0.167
F 0.127 0.358 0.592
F 0.231 0.873 0.926
F 0.358 0.127 0.408
F 0.642 0.769 0.259
F 0.769 0.642 0.741
F 0.873 0.231 0.074

***

No. 9
The following is a PBE-GGA calculation of a relaxed structure of CeDyPdPb, from the Alexandria database.

Output
space-group type = F-43m (216)
formation energy from the elements = -0.49 eV/atom
calculated total energy = -5.354 eV/atom
mass density = 9.79 g/cm³

Cell: 7.478 7.478 7.478 Å, 90.00 90.00 90.00°
Positions (direct):
Ce 0.000 0.000 0.000
Ce 0.000 0.500 0.500
Ce 0.500 0.000 0.500
Ce 0.500 0.500 0.000
Dy 0.000 0.000 0.500
Dy 0.000 0.500 0.000
Dy 0.500 0.000 0.000
Dy 0.500 0.500 0.500
Pd 0.250 0.250 0.750
Pd 0.250 0.750 0.250
Pd 0.750 0.250 0.250
Pd 0.750 0.750 0.750
Pb 0.250 0.250 0.250
Pb 0.250 0.750 0.750
Pb 0.750 0.250 0.750
Pb 0.750 0.750 0.250

***

No. 10
The following is a PBE-GGA calculation of a relaxed structure of Ba3Ni5I12, from the Alexandria database.

Output
space-group type = Ia-3d (230)
calculated total energy = -3.348 eV/atom
mass density = 5.26 g/cm³
formation energy from raw total energies = -1321 kJ/mol of formula units

Cell: 15.406 15.406 15.406 Å, 109.47 109.47 109.47°
Positions (direct):
Ba 0.125 0.250 0.375
Ba 0.125 0.375 0.750
Ba 0.250 0.375 0.125
Ba 0.250 0.875 0.625
Ba 0.375 0.125 0.250
Ba 0.375 0.750 0.125
Ba 0.625 0.250 0.875
Ba 0.625 0.875 0.750
Ba 0.750 0.125 0.375
Ba 0.750 0.625 0.875
Ba 0.875 0.625 0.250
Ba 0.875 0.750 0.625
Ni 0.000 0.000 0.000
Ni 0.000 0.000 0.500
Ni 0.000 0.500 0.000
Ni 0.000 0.500 0.500
Ni 0.125 0.750 0.875
Ni 0.125 0.875 0.250
Ni 0.250 0.125 0.875
Ni 0.250 0.625 0.375
Ni 0.375 0.250 0.625
Ni 0.375 0.625 0.750
Ni 0.500 0.000 0.000
Ni 0.500 0.000 0.500
Ni 0.500 0.500 0.000
Ni 0.500 0.500 0.500
Ni 0.625 0.375 0.250
Ni 0.625 0.750 0.375
Ni 0.750 0.375 0.625
Ni 0.750 0.875 0.125
Ni 0.875 0.125 0.750
Ni 0.875 0.250 0.125
I 0.015 0.196 0.110
I 0.015 0.318 0.905
I 0.087 0.696 0.682
I 0.087 0.890 0.405
I 0.095 0.610 0.413
I 0.095 0.985 0.682
I 0.110 0.015 0.196
I 0.110 0.595 0.913
I 0.182 0.196 0.587
I 0.182 0.485 0.595
I 0.196 0.110 0.015
I 0.196 0.587 0.182
I 0.304 0.318 0.913
I 0.304 0.485 0.390
I 0.318 0.905 0.015
I 0.318 0.913 0.304
I 0.390 0.304 0.485
I 0.390 0.587 0.905
I 0.405 0.087 0.890
I 0.405 0.818 0.515
I 0.413 0.095 0.610
I 0.413 0.818 0.804
I 0.485 0.390 0.304
I 0.485 0.595 0.182
I 0.515 0.405 0.818
I 0.515 0.610 0.696
I 0.587 0.182 0.196
I 0.587 0.905 0.390
I 0.595 0.182 0.485
I 0.595 0.913 0.110
I 0.610 0.413 0.095
I 0.610 0.696 0.515
I 0.682 0.087 0.696
I 0.682 0.095 0.985
I 0.696 0.515 0.610
I 0.696 0.682 0.087
I 0.804 0.413 0.818
I 0.804 0.890 0.985
I 0.818 0.515 0.405
I 0.818 0.804 0.413
I 0.890 0.405 0.087
I 0.890 0.985 0.804
I 0.905 0.015 0.318
I 0.905 0.390 0.587
I 0.913 0.110 0.595
I 0.913 0.304 0.318
I 0.985 0.682 0.095
I 0.985 0.804 0.890

***

No. 11
The following is a PBE-GGA calculation of a relaxed structure of GdNpRu4, from the Alexandria database.

Output
space-group type = F-43m (216)
formation energy from the elements = -0.11 eV/atom
calculated total energy = -10.800 eV/atom
mass density = 12.35 g/cm³

Cell: 5.334 5.334 5.334 Å, 60.00 60.00 60.00°
Positions (direct):
Gd 0.000 0.000 0.000
Np 0.250 0.250 0.250
Ru 0.125 0.625 0.625
Ru 0.625 0.125 0.625
Ru 0.625 0.625 0.125
Ru 0.625 0.625 0.625

***

No. 12
The following is a PBE-GGA calculation of a relaxed structure of FeRu2Au, from the Alexandria database.

Output
polymorph energy (0 for the lowest one) = 215 meV per atom
space-group type = Cmm2 (35)
formation energy from the elements = 0.42 eV/atom
calculated total energy = -7.157 eV/atom
mass density = 12.62 g/cm³

Cell: 2.848 4.598 9.145 Å, 90.00 90.00 90.00°
Positions (direct):
Fe 0.000 0.000 0.000
Fe 0.500 0.500 0.000
Ru 0.000 0.000 0.530
Ru 0.000 0.500 0.771
Ru 0.500 0.000 0.771
Ru 0.500 0.500 0.530
Au 0.000 0.500 0.254
Au 0.500 0.000 0.254

***

No. 13
The following is a PBE-GGA calculation of a relaxed structure of Dy3ZnSi6Ni2, from the Alexandria database.

Output
space-group type = P-3m1 (164)
calculated total energy = -5.197 eV/atom
mass density = 6.30 g/cm³
formation energy from raw total energies = -307 kJ/mol of formula units

Cell: 5.599 5.599 8.139 Å, 90.00 90.00 120.00°
Positions (direct):
Dy 0.000 0.000 0.000
Dy 0.333 0.667 0.602
Dy 0.667 0.333 0.398
Zn 0.000 0.000 0.500
Si 0.188 0.377 0.272
Si 0.188 0.812 0.272
Si 0.377 0.188 0.728
Si 0.623 0.812 0.272
Si 0.812 0.188 0.728
Si 0.812 0.623 0.728
Ni 0.333 0.667 0.043
Ni 0.667 0.333 0.957

***

No. 14
The following is a PBE-GGA calculation of a relaxed structure of Tm3Ru, from the Alexandria database.

Output
space-group type = Immm (71)
formation energy from the elements = -0.28 eV/atom
calculated total energy = -5.956 eV/atom
mass density = 10.30 g/cm³

Cell: 3.511 5.202 10.728 Å, 90.00 90.00 90.00°
Positions (direct):
Tm 0.000 0.000 0.000
Tm 0.000 0.500 0.198
Tm 0.000 0.500 0.802
Tm 0.500 0.000 0.302
Tm 0.500 0.000 0.698
Tm 0.500 0.500 0.500
Ru 0.000 0.000 0.500
Ru 0.500 0.500 0.000

***

No. 15
The following is a PBE-GGA calculation of a relaxed structure of Tb3MgRh2, from the Alexandria database.

Output
space-group type = Ibam (72)
formation energy from the elements = -0.58 eV/atom
calculated total energy = -5.615 eV/atom
mass density = 7.69 g/cm³

Cell: 8.147 8.147 8.147 Å, 132.43 72.74 128.47°
Positions (direct):
Tb 0.030 0.750 0.280
Tb 0.250 0.250 0.000
Tb 0.470 0.750 0.720
Tb 0.530 0.250 0.280
Tb 0.750 0.750 0.000
Tb 0.970 0.250 0.720
Mg 0.000 0.500 0.500
Mg 0.500 0.000 0.500
Rh 0.138 0.206 0.344
Rh 0.362 0.706 0.068
Rh 0.638 0.294 0.932
Rh 0.862 0.794 0.656

***

No. 16
The following is a PBE-GGA calculation of a relaxed structure of LaHf3Bi, from the Alexandria database.

Output
polymorph energy (0 for the lowest one) = 0 meV per atom
space-group type = Pm-3m (221)
formation energy from the elements = 0.94 eV/atom
calculated total energy = -6.795 eV/atom
mass density = 9.09 g/cm³

Cell: 5.443 5.443 5.443 Å, 90.00 90.00 90.00°
Positions (direct):
La 0.000 0.000 0.000
Hf 0.000 0.500 0.500
Hf 0.500 0.000 0.500
Hf 0.500 0.500 0.000
Bi 0.500 0.500 0.500

***

No. 17
The following is a PBE-GGA calculation of a relaxed structure of Be2FeAu, from the Alexandria database.

Output
space-group type = P4/mmm (123)
formation energy from the elements = -0.07 eV/atom
calculated total energy = -4.871 eV/atom
mass density = 10.33 g/cm³

Cell: 3.849 3.849 2.939 Å, 90.00 90.00 90.00°
Positions (direct):
Be 0.000 0.500 0.000
Be 0.500 0.000 0.000
Fe 0.000 0.000 0.500
Au 0.500 0.500 0.500

***

No. 18
The following is a PBE-GGA calculation of a relaxed structure of Tb3PmTm3, from the Alexandria database.

Output
polymorph energy (0 for the lowest one) = 0 meV per atom
space-group type = P6_3/m (176)
formation energy from the elements = 0.01 eV/atom
calculated total energy = -4.570 eV/atom
mass density = 8.43 g/cm³

Cell: 9.538 9.538 5.646 Å, 90.00 90.00 120.00°
Positions (direct):
Tb 0.049 0.810 0.250
Tb 0.190 0.239 0.250
Tb 0.239 0.049 0.750
Tb 0.761 0.951 0.250
Tb 0.810 0.761 0.750
Tb 0.951 0.190 0.750
Pm 0.333 0.667 0.250
Pm 0.667 0.333 0.750
Tm 0.095 0.618 0.750
Tm 0.382 0.477 0.750
Tm 0.477 0.095 0.250
Tm 0.523 0.905 0.750
Tm 0.618 0.523 0.250
Tm 0.905 0.382 0.250